A plane-wave DFT calculation with GGA-PBE was carried out for a geometry-optimized Cu3H2 structure.

Lattice parameters (Å, degrees): 4.6525 4.6525 13.1333 90.00 90.00 120.00
With the nearest neighbours (Å) after each atom.
Space group R-3c (No. 167, hexagonal axes)
Symmetry-distinct sites (fractional):
Cu 0.0000 0.3438 0.2500 x18  4 H 1.82-2.00
H 0.0000 0.0000 0.1591 x12  6 Cu 1.82-2.00

Computed properties:
The uncorrected energy is -3.6348 eV/atom. The volume comes out at 246.2 Å³ per cell. Its crystal system is trigonal.